1.
An optimized crystal structure of NaNpIn2. Source: Alexandria, functional PBE.

Output
The value obtained for the energy is -19.43 eV per cell. Its space-group type is No. 123.

Cell and atoms, written as extended XYZ:
```
4
Lattice="5.8382 0.0000 0.0000 0.0000 5.8382 0.0000 0.0000 0.0000 3.0037" Properties=species:S:1:pos:R:3 pbc="T T T"
Na 0.0000 0.0000 0.0000
Np 2.9191 2.9191 0.0000
In 0.0000 2.9191 1.5019
In 2.9191 0.0000 1.5019
```

2.
An optimized crystal structure of NaNp2In9. Source: Alexandria, functional PBE.

Output
The value obtained for the energy is -52.00 eV per cell. Its space-group type is No. 123.

Cell and atoms, written as extended XYZ:
```
12
Lattice="4.6377 0.0000 0.0000 0.0000 4.6377 0.0000 0.0000 0.0000 14.0658" Properties=species:S:1:pos:R:3 pbc="T T T"
Na 0.0000 0.0000 0.0000
Np 0.0000 0.0000 4.6797
Np 0.0000 0.0000 9.3862
In 0.0000 2.3188 2.3445
In 0.0000 2.3188 7.0329
In 0.0000 2.3188 11.7214
In 2.3188 0.0000 2.3445
In 2.3188 0.0000 7.0329
In 2.3188 0.0000 11.7214
In 2.3188 2.3188 0.0000
In 2.3188 2.3188 4.7471
In 2.3188 2.3188 9.3188
```

3.
An optimized crystal structure of NaNpIn2O8. Source: Alexandria, functional PBE.

Output
As for the formation energy without anion corrections: -19.98 eV/f.u. Its space-group type is No. 10.

Cell and atoms, written as extended XYZ:
```
12
Lattice="4.3251 0.0000 0.0000 0.0000 6.7578 0.0000 -0.2170 0.0000 5.5045" Properties=species:S:1:pos:R:3 pbc="T T T"
Na 0.0000 0.0000 0.0000
Np 0.0000 3.3789 0.0000
In 2.0540 1.7648 2.7522
In 2.0540 4.9930 2.7522
O 0.5480 0.0000 3.1275
O 0.9940 1.8981 0.8588
O 0.9940 4.8597 0.8588
O 0.9445 3.3789 3.6938
O 3.1635 3.3789 1.8107
O 3.1141 1.8981 4.6457
O 3.1141 4.8597 4.6457
O 3.5601 0.0000 2.3770
```

4.
An optimized crystal structure of NaNpIn2O6. Source: Alexandria, functional PBE.

Output
As for the formation energy without anion corrections: -19.88 eV/f.u. Its space-group type is No. 146.

Cell and atoms, written as extended XYZ:
```
10
Lattice="2.8390 1.6391 5.0410 -2.8390 1.6391 5.0410 0.0000 -3.2782 5.0410" Properties=species:S:1:pos:R:3 pbc="T T T"
Na 0.0000 0.0000 0.0000
Np 0.0000 0.0000 7.8186
In 0.0000 0.0000 3.2198
In 0.0000 0.0000 10.9397
O -0.9107 -1.7218 6.8402
O -1.6036 0.1584 9.2387
O -1.0357 1.6496 6.8402
O 0.6647 -1.4679 9.2387
O 1.9465 0.0722 6.8402
O 0.9389 1.3096 9.2387
```

5.
An optimized crystal structure of NaNp2InO8. Source: Alexandria, functional PBE.

Output
As for the formation energy without anion corrections: -26.79 eV/f.u. Its space-group type is No. 82.

Cell and atoms, written as extended XYZ:
```
12
Lattice="-2.6613 2.6613 5.2200 2.6613 -2.6613 5.2200 2.6613 2.6613 -5.2200" Properties=species:S:1:pos:R:3 pbc="T T T"
Na 0.0000 0.0000 0.0000
Np 2.6613 0.0000 2.6100
Np 0.0000 0.0000 5.2200
In 0.0000 2.6613 2.6100
O 3.8480 1.3768 -1.5064
O 1.2416 1.5766 -1.1419
O 3.7460 1.2416 1.1419
O 1.3768 1.4747 1.5064
O 1.4198 1.0847 4.0781
O -1.1866 1.2845 3.7137
O 1.2845 1.1866 6.7264
O -1.0847 1.4198 6.3620
```

6.
An optimized crystal structure of NaNpIn4O8. Source: Alexandria, functional PBE.

Output
As for the formation energy without anion corrections: -24.42 eV/f.u. Its space-group type is No. 160.

Cell and atoms, written as extended XYZ:
```
14
Lattice="3.3080 1.9099 5.3845 -3.3080 1.9099 5.3845 0.0000 -3.8197 5.3845" Properties=species:S:1:pos:R:3 pbc="T T T"
Na 0.0000 0.0000 0.0000
Np 0.0000 0.0000 6.1298
In -1.6392 -0.9464 13.4707
In 0.0000 0.0000 9.9959
In 1.6392 -0.9464 13.4706
In 0.0000 1.8928 13.4706
O -1.7315 -0.9997 9.2625
O 0.0000 0.0000 3.8715
O 0.0000 -2.0106 6.9022
O -1.7412 1.0053 6.9022
O 1.7315 -0.9997 9.2625
O 0.0000 1.9994 9.2625
O 0.0000 0.0000 12.2091
O 1.7412 1.0053 6.9022
```

- Which formula does entry 3 have?
  NaNpIn2O8